The following is a PBE+U calculation of crystalline PuSc2CoO8 at its relaxed geometry, from Alexandria.

Cell lengths 4.8147, 4.8147, 6.2378 Å; angles 90.00, 90.00, 92.57 degrees
Positions (direct):
1 Pu 0.0000 0.0000 0.0000
2 Sc 0.5000 0.5000 0.2687
3 Sc 0.5000 0.5000 0.7313
4 Co 0.0000 0.0000 0.5000
5 O 0.1843 0.8157 0.2538
6 O 0.1843 0.8157 0.7462
7 O 0.2902 0.2902 0.5000
8 O 0.2996 0.2996 0.0000
9 O 0.7004 0.7004 0.0000
10 O 0.7098 0.7098 0.5000
11 O 0.8157 0.1843 0.2538
12 O 0.8157 0.1843 0.7462

Values from the calculation:
SG = Cmmm, No. 65
spin magnetization = 0.99 μB/cell
final energy = -8.391 eV/atom